Compound: Ni2RuW
Source: the Alexandria database
Functional: PBE
Structure: relaxed

Cell: 3.113 3.113 5.414 Å, 90.00 90.00 90.00°
Element x y z (fractional)
Ni (0.000, 0.000, 0.000)
Ni (0.500, 0.500, 0.204)
Ru (0.000, 0.000, 0.483)
W (0.500, 0.500, 0.748)

=====

Compound: NiRu2W
Source: the Alexandria database
Functional: PBE
Structure: relaxed

Cell: 2.725 3.779 5.354 Å, 90.00 90.00 90.00°
Element x y z (fractional)
Ni (0.000, 0.000, 0.000)
Ru (0.000, 0.000, 0.488)
Ru (0.500, 0.500, 0.239)
W (0.500, 0.500, 0.759)

=====

Compound: NiRu2W
Source: the Alexandria database
Functional: PBE
Structure: relaxed

Cell: 4.569 4.564 3.895 Å, 64.82 64.69 50.49°
Element x y z (fractional)
Ni (0.000, 0.000, 0.000)
Ru (0.250, 0.250, 0.250)
Ru (0.750, 0.750, 0.750)
W (0.500, 0.500, 0.500)

=====

Compound: NiRuW
Source: the Alexandria database
Functional: PBE
Structure: relaxed

Cell: 4.314 4.314 5.303 Å, 96.11 96.11 60.06°
Element x y z (fractional)
Ni (0.196, 0.196, 0.384)
Ni (0.804, 0.804, 0.616)
Ru (0.156, 0.156, 0.870)
Ru (0.844, 0.844, 0.130)
W (0.483, 0.483, 0.757)
W (0.517, 0.517, 0.243)

Results
Distance to the lowest polymorph of the same formula   159 meV/atom

=====

Compound: Ni2RuW
Source: the Alexandria database
Functional: PBE
Structure: relaxed

Cell: 2.713 2.713 7.107 Å, 90.00 90.00 90.00°
Element x y z (fractional)
Ni (0.000, 0.000, 0.000)
Ni (0.500, 0.500, 0.229)
Ru (0.000, 0.000, 0.473)
W (0.500, 0.500, 0.751)

=====

Compound: Ni2RuW
Source: the Alexandria database
Functional: PBE
Structure: relaxed

Cell: 2.639 2.639 7.512 Å, 90.00 90.00 90.00°
Element x y z (fractional)
Ni (0.000, 0.000, 0.246)
Ni (0.000, 0.000, 0.754)
Ru (0.500, 0.500, 0.000)
W (0.500, 0.500, 0.500)

=====

Compound: NiRuW2
Source: the Alexandria database
Functional: PBE
Structure: relaxed

Cell: 2.744 2.744 7.680 Å, 90.00 90.00 90.00°
Element x y z (fractional)
Ni (0.000, 0.000, 0.000)
Ru (0.500, 0.500, 0.237)
W (0.000, 0.000, 0.480)
W (0.500, 0.500, 0.768)

=====

Compound: Ni6RuW2
Source: the Alexandria database
Functional: PBE
Structure: relaxed

Cell: 5.780 5.780 5.835 Å, 107.33 107.33 37.01°
Element x y z (fractional)
Ni (0.110, 0.110, 0.165)
Ni (0.225, 0.225, 0.838)
Ni (0.330, 0.330, 0.501)
Ni (0.670, 0.670, 0.499)
Ni (0.775, 0.775, 0.162)
Ni (0.890, 0.890, 0.835)
Ru (0.000, 0.000, 0.500)
W (0.439, 0.439, 0.173)
W (0.561, 0.561, 0.827)

=====

| no. | energy relative to the elements (kJ/mol of formula units) |
| --- | --- |
| 1 | 20.3 |
| 2 | 17.9 |
| 3 | 6.7 |
| 4 | 51.7 |
| 5 | 39.4 |
| 6 | 59.2 |
| 7 | 53.9 |
| 8 | -24.9 |